No. 1
This record from Alexandria describes crystalline ZrZnOs at its relaxed geometry. The functional is PBE-GGA.

a b c (Å): 4.434 4.434 4.434
angles (deg): 60.00 60.00 60.00
Fractional positions:
Zr 0.000 0.000 0.000
Zn 0.750 0.750 0.750
Os 0.250 0.250 0.250

Computed properties:
space-group type: F-43m, No. 216
crystal system: cubic
VASP energy: -6.504 eV per atom
N(E_F): 0.12 states/eV/atom

***

No. 2
This record from Alexandria describes crystalline Zr2ZnOs at its relaxed geometry. The functional is PBE-GGA.

a b c (Å): 6.038 6.038 6.038
angles (deg): 102.51 102.51 124.54
Fractional positions:
Zr 0.091 0.625 0.966
Zr 0.375 0.341 0.466
Zr 0.659 0.125 0.034
Zr 0.875 0.909 0.534
Zn 0.250 0.750 0.500
Zn 0.500 0.500 0.000
Os 0.000 0.000 0.000
Os 0.750 0.250 0.500

Computed properties:
space-group type: I-42d, No. 122
crystal system: tetragonal
VASP energy: -7.225 eV per atom
N(E_F): 0.10 states/eV/atom

***

No. 3
This record from Alexandria describes crystalline ZrZn2Os at its relaxed geometry. The functional is PBE-GGA.

a b c (Å): 4.924 4.924 4.924
angles (deg): 132.31 132.31 69.74
Fractional positions:
Zr 0.000 0.000 0.000
Zn 0.250 0.750 0.500
Zn 0.750 0.250 0.500
Os 0.500 0.500 0.000

Computed properties:
space-group type: I4/mmm, No. 139
crystal system: tetragonal
VASP energy: -5.742 eV per atom
N(E_F): 0.54 states/eV/atom

***

No. 4
This record from Alexandria describes crystalline Zr6ZnOs5 at its relaxed geometry. The functional is PBE-GGA.

a b c (Å): 8.093 8.093 8.093
angles (deg): 146.49 132.12 59.71
Fractional positions:
Zr 0.082 0.332 0.749
Zr 0.248 0.000 0.248
Zr 0.417 0.668 0.749
Zr 0.583 0.332 0.251
Zr 0.752 0.000 0.752
Zr 0.918 0.668 0.251
Zn 0.500 0.500 0.000
Os 0.000 0.500 0.500
Os 0.167 0.167 0.000
Os 0.334 0.834 0.500
Os 0.666 0.166 0.500
Os 0.833 0.833 0.000

Computed properties:
space-group type: Immm, No. 71
crystal system: orthorhombic
VASP energy: -9.536 eV per atom
N(E_F): 0.27 states/eV/atom

***

No. 5
This record from Alexandria describes crystalline Zr2ZnOs at its relaxed geometry. The functional is PBE-GGA.

a b c (Å): 8.702 8.702 8.702
angles (deg): 21.48 21.48 21.48
Fractional positions:
Zr 0.246 0.246 0.246
Zr 0.754 0.754 0.754
Zn 0.000 0.000 0.000
Os 0.500 0.500 0.500

Computed properties:
space-group type: R-3m, No. 166
crystal system: trigonal
VASP energy: -7.460 eV per atom
N(E_F): 0.66 states/eV/atom

***

No. 6
This record from Alexandria describes crystalline ZrZn4Os at its relaxed geometry. The functional is PBE-GGA.

a b c (Å): 5.004 5.004 5.004
angles (deg): 60.00 60.00 60.00
Fractional positions:
Zr 0.000 0.000 0.000
Zn 0.127 0.624 0.624
Zn 0.624 0.127 0.624
Zn 0.624 0.624 0.127
Zn 0.624 0.624 0.624
Os 0.250 0.250 0.250

Computed properties:
space-group type: F-43m, No. 216
crystal system: cubic
VASP energy: -4.376 eV per atom
N(E_F): 0.04 states/eV/atom

***

No. 7
This record from Alexandria describes crystalline ZrZnOs at its relaxed geometry. The functional is PBE-GGA.

a b c (Å): 4.399 4.399 4.399
angles (deg): 60.00 60.00 60.00
Fractional positions:
Zr 0.000 0.000 0.000
Zn 0.500 0.500 0.500
Os 0.250 0.250 0.250

Computed properties:
space-group type: F-43m, No. 216
crystal system: cubic
VASP energy: -6.932 eV per atom
N(E_F): 0.61 states/eV/atom

***

No. 8
This record from Alexandria describes crystalline ZrZnOs at its relaxed geometry. The functional is PBE-GGA.

a b c (Å): 4.545 4.545 2.827
angles (deg): 90.00 90.00 120.00
Fractional positions:
Zr 0.000 0.000 0.000
Zn 0.333 0.667 0.525
Os 0.667 0.333 0.339

Computed properties:
space-group type: P3m1, No. 156
crystal system: trigonal
VASP energy: -7.150 eV per atom
N(E_F): 0.58 states/eV/atom

***

No. 9
This record from Alexandria describes crystalline ZrZnOs2 at its relaxed geometry. The functional is PBE-GGA.

a b c (Å): 9.575 9.575 9.575
angles (deg): 16.93 16.93 16.93
Fractional positions:
Zr 0.000 0.000 0.000
Zn 0.758 0.758 0.758
Os 0.243 0.243 0.243
Os 0.503 0.503 0.503

Computed properties:
space-group type: R3m, No. 160
crystal system: trigonal
VASP energy: -7.882 eV per atom
N(E_F): 0.96 states/eV/atom

***

No. 10
This record from Alexandria describes crystalline Zr2ZnOs at its relaxed geometry. The functional is PBE-GGA.

a b c (Å): 2.962 2.962 9.047
angles (deg): 90.00 90.00 109.59
Fractional positions:
Zr 0.000 0.000 0.000
Zr 0.500 0.500 0.298
Zn 0.500 0.500 0.741
Os 0.000 0.000 0.522

Computed properties:
space-group type: Cmm2, No. 35
crystal system: orthorhombic
VASP energy: -7.292 eV per atom
N(E_F): 0.91 states/eV/atom

***

No. 11
This record from Alexandria describes crystalline ZrZn2Os at its relaxed geometry. The functional is PBE-GGA.

a b c (Å): 2.754 2.754 9.210
angles (deg): 90.00 90.00 110.56
Fractional positions:
Zr 0.000 0.000 0.000
Zn 0.500 0.500 0.270
Zn 0.500 0.500 0.730
Os 0.000 0.000 0.500

Computed properties:
space-group type: Cmmm, No. 65
crystal system: orthorhombic
VASP energy: -5.362 eV per atom
N(E_F): 0.85 states/eV/atom

***

No. 12
This record from Alexandria describes crystalline ZrZnOs4 at its relaxed geometry. The functional is PBE-GGA.

a b c (Å): 5.196 5.196 5.196
angles (deg): 60.00 60.00 60.00
Fractional positions:
Zr 0.000 0.000 0.000
Zn 0.250 0.250 0.250
Os 0.126 0.625 0.625
Os 0.625 0.126 0.625
Os 0.625 0.625 0.126
Os 0.625 0.625 0.625

Computed properties:
space-group type: F-43m, No. 216
crystal system: cubic
VASP energy: -9.023 eV per atom
N(E_F): 1.18 states/eV/atom